Material: BaU2V2O12
Method: DFT, PBE with a Hubbard U
State: relaxed

- Electronic total energy: -8.452 eV per atom

a = 6.932 Å, b = 8.334 Å, c = 10.720 Å
α = 90.00°, β = 100.41°, γ = 90.00°
Space group Pc (No. 7)
Inequivalent atoms, fractional coordinates:
Ba 0.000 0.042 0.000 [2 per cell]
U 0.483 0.239 0.858 [2 per cell]
U 0.500 0.266 0.500 [2 per cell]
V 0.387 0.389 0.128 [2 per cell]
V 0.616 0.099 0.233 [2 per cell]
O 0.156 0.338 0.117 [2 per cell]
O 0.224 0.174 0.837 [2 per cell]
O 0.242 0.204 0.456 [2 per cell]
O 0.421 0.463 0.969 [2 per cell]
O 0.429 0.404 0.684 [2 per cell]
O 0.500 0.193 0.074 [2 per cell]
O 0.511 0.092 0.675 [2 per cell]
O 0.526 0.302 0.286 [2 per cell]
O 0.600 0.033 0.397 [2 per cell]
O 0.748 0.281 0.887 [2 per cell]
O 0.762 0.297 0.547 [2 per cell]
O 0.855 0.089 0.231 [2 per cell]